! HfTe2IO PBEsol relaxed; values from VASP
&SYSTEM
  ibrav = 0, nat = 5, ntyp = 4
/
ATOMIC_SPECIES
Hf 178.49 Hf.upf
Te 127.60 Te.upf
I 126.90 I.upf
O 16.00 O.upf
CELL_PARAMETERS angstrom
5.4657 0.0000 0.0000
0.0000 5.4657 0.0000
0.0000 0.0000 5.5659
ATOMIC_POSITIONS crystal
Hf 0.0000 0.0000 0.0000
Te 0.0000 0.5000 0.0000
Te 0.5000 0.0000 0.0000
I 0.0000 0.0000 0.5000
O 0.5000 0.5000 0.5000
! Density (g/cm3): 5.758
! Space-group type: P4/mmm
! Calculated total energy (eV per cell): -22.82
! Raw formation energy (kJ/mol of atoms): 34
! Magnetization (μB per formula unit): 1.94